(1)
First-principles (PBE) data for an optimized crystal structure of CeHoCoHg, as listed in Alexandria via LeMat-Bulk.

extended XYZ file:
```
16
Lattice="7.175 0.000 0.000 0.000 7.175 0.000 0.000 0.000 7.175" Properties=species:S:1:pos:R:3 pbc="T T T"
Ce 0.000 0.000 0.000
Ce 0.000 3.587 3.587
Ce 3.587 0.000 3.587
Ce 3.587 3.587 0.000
Ho 0.000 0.000 3.587
Ho 0.000 3.587 0.000
Ho 3.587 0.000 0.000
Ho 3.587 3.587 3.587
Co 1.794 1.794 5.381
Co 1.794 5.381 1.794
Co 5.381 1.794 1.794
Co 5.381 5.381 5.381
Hg 1.794 1.794 1.794
Hg 1.794 5.381 5.381
Hg 5.381 1.794 5.381
Hg 5.381 5.381 1.794
```

Properties
Energy of formation in eV per atom: -0.128
DOS(E_F) in states/eV/f.u.: 6.87
E_tot in eV/f.u.: -18.43

---

(2)
First-principles (PBE) data for an optimized crystal structure of CeLuCoHg, as listed in Alexandria via LeMat-Bulk.

extended XYZ file:
```
16
Lattice="7.115 0.000 0.000 0.000 7.115 0.000 0.000 0.000 7.115" Properties=species:S:1:pos:R:3 pbc="T T T"
Ce 0.000 0.000 0.000
Ce 0.000 3.557 3.557
Ce 3.557 0.000 3.557
Ce 3.557 3.557 0.000
Lu 0.000 0.000 3.557
Lu 0.000 3.557 0.000
Lu 3.557 0.000 0.000
Lu 3.557 3.557 3.557
Co 1.779 1.779 1.779
Co 1.779 5.336 5.336
Co 5.336 1.779 5.336
Co 5.336 5.336 1.779
Hg 1.779 1.779 5.336
Hg 1.779 5.336 1.779
Hg 5.336 1.779 1.779
Hg 5.336 5.336 5.336
```

Properties
Energy of formation in eV per atom: -0.139
DOS(E_F) in states/eV/f.u.: 6.54
E_tot in eV/f.u.: -18.42

---

(3)
First-principles (PBE) data for an optimized crystal structure of CeMg2CoHg, as listed in Alexandria via LeMat-Bulk.

extended XYZ file:
```
5
Lattice="5.008 0.000 0.000 0.000 5.008 0.000 0.000 0.000 4.759" Properties=species:S:1:pos:R:3 pbc="T T T"
Ce 0.000 0.000 0.000
Mg 0.000 2.504 2.369
Mg 2.504 0.000 2.369
Co 0.000 0.000 2.572
Hg 2.504 2.504 0.128
```

Properties
Energy of formation in eV per atom: -0.179
DOS(E_F) in states/eV/f.u.: 4.35
E_tot in eV/f.u.: -17.42

---

(4)
First-principles (PBE) data for an optimized crystal structure of Ce6CoHg2Ru, as listed in Alexandria via LeMat-Bulk.

extended XYZ file:
```
10
Lattice="7.130 0.000 0.000 -0.003 7.135 0.000 -3.556 -3.551 5.460" Properties=species:S:1:pos:R:3 pbc="T T T"
Ce 1.236 2.231 0.002
Ce -0.014 0.026 2.736
Ce 2.223 5.895 0.022
Ce 1.348 -2.311 5.438
Ce 3.586 3.558 2.724
Ce 2.336 1.353 5.459
Co 0.000 0.000 0.000
Hg 0.001 3.574 2.730
Hg 3.570 0.010 2.730
Ru 3.564 3.567 0.000
```

Properties
Energy of formation in eV per atom: -0.177
DOS(E_F) in states/eV/f.u.: 32.25
E_tot in eV/f.u.: -54.36

---

(5)
First-principles (PBE) data for an optimized crystal structure of CeSmCoHg, as listed in Alexandria via LeMat-Bulk.

extended XYZ file:
```
4
Lattice="3.685 0.000 0.000 0.240 3.704 0.000 1.023 0.993 7.072" Properties=species:S:1:pos:R:3 pbc="T T T"
Ce 0.000 0.000 0.000
Sm 3.892 3.672 4.084
Co 2.296 2.181 5.780
Hg 1.975 1.865 2.079
```

Properties
Relative energy among the computed polymorphs in eV per atom: 0.000
Energy of formation in eV per atom: -0.268
DOS(E_F) in states/eV/f.u.: 4.59
E_tot in eV/f.u.: -19.13

---

(6)
First-principles (PBE) data for an optimized crystal structure of Ce2SmCoHg, as listed in Alexandria via LeMat-Bulk.

extended XYZ file:
```
5
Lattice="4.936 0.000 0.000 0.000 4.936 0.000 0.000 0.000 5.599" Properties=species:S:1:pos:R:3 pbc="T T T"
Ce 0.000 2.468 0.000
Ce 2.468 0.000 0.000
Sm 0.000 0.000 2.801
Co 0.000 0.000 0.001
Hg 2.468 2.468 2.811
```

Properties
Energy of formation in eV per atom: -0.170
DOS(E_F) in states/eV/f.u.: 10.47
E_tot in eV/f.u.: -24.84